1.
Compound: YInCuIr
Source: OQMD via LeMat-Bulk
Functional: PBE
Structure: relaxed

Values from the calculation:
- size of the total moment (Bohr magnetons per cell) = 0.00
- offset from the most stable computed form (meV/atom) = 274.0
- crystal system = cubic

Cell: 4.754 4.754 4.754 Å, 60.00 60.00 60.00°
Positions (direct):
Y (0.000, 0.000, 0.000)
In (0.250, 0.250, 0.250)
Cu (0.500, 0.500, 0.500)
Ir (0.750, 0.750, 0.750)

2.
Compound: SrZnSn2
Source: OQMD via LeMat-Bulk
Functional: PBE
Structure: relaxed

Values from the calculation:
- energy (eV per atom) = -2.9328
- crystal system = cubic

Cell: 5.411 5.411 5.411 Å, 60.00 60.00 60.00°
Positions (direct):
Sr (0.000, 0.000, 0.000)
Zn (0.250, 0.250, 0.250)
Sn (0.500, 0.500, 0.500)
Sn (0.750, 0.750, 0.750)

3.
Compound: LuFeAgPb
Source: OQMD via LeMat-Bulk
Functional: PBE
Structure: relaxed

Values from the calculation:
- size of the total moment (Bohr magnetons per cell) = 2.57
- offset from the most stable computed form (meV/atom) = 0.0
- crystal system = cubic

Cell: 4.884 4.884 4.884 Å, 60.00 60.00 60.00°
Positions (direct):
Lu (0.000, 0.000, 0.000)
Fe (0.500, 0.500, 0.500)
Ag (0.750, 0.750, 0.750)
Pb (0.250, 0.250, 0.250)

4.
Compound: AlGa2Ir
Source: OQMD via LeMat-Bulk
Functional: PBE
Structure: relaxed

Values from the calculation:
- size of the total moment (Bohr magnetons per cell) = 0.00
- energy (eV per atom) = -4.7676
- crystal system = cubic

Cell: 4.439 4.439 4.439 Å, 60.00 60.00 60.00°
Positions (direct):
Al (0.000, 0.000, 0.000)
Ga (0.500, 0.500, 0.500)
Ga (0.750, 0.750, 0.750)
Ir (0.250, 0.250, 0.250)

5.
Compound: LiTe2PdAuS
Source: OQMD via LeMat-Bulk
Functional: PBE
Structure: relaxed

Values from the calculation:
- energy (eV per atom) = -3.7262
- crystal system = orthorhombic

Cell: 6.539 6.539 10.717 Å, 90.00 90.00 143.64°
Positions (direct):
Li (0.167, 0.833, 0.750)
Li (0.833, 0.167, 0.250)
Te (0.141, 0.859, 0.010)
Te (0.141, 0.859, 0.490)
Te (0.859, 0.141, 0.510)
Te (0.859, 0.141, 0.990)
Pd (0.500, 0.500, 0.000)
Pd (0.500, 0.500, 0.500)
Au (0.155, 0.845, 0.250)
Au (0.845, 0.155, 0.750)
S (0.444, 0.556, 0.250)
S (0.556, 0.444, 0.750)

6.
Compound: YNbNiSb
Source: OQMD via LeMat-Bulk
Functional: PBE
Structure: relaxed

Values from the calculation:
- size of the total moment (Bohr magnetons per cell) = 1.00
- energy (eV per atom) = -6.4461
- crystal system = cubic

Cell: 4.770 4.770 4.770 Å, 60.00 60.00 60.00°
Positions (direct):
Y (0.000, 0.000, 0.000)
Nb (0.250, 0.250, 0.250)
Ni (0.750, 0.750, 0.750)
Sb (0.500, 0.500, 0.500)

7.
Compound: MgNpAu
Source: OQMD via LeMat-Bulk
Functional: PBE
Structure: relaxed

Values from the calculation:
- size of the total moment (Bohr magnetons per cell) = 5.09
- energy (eV per atom) = -5.3086
- crystal system = cubic

Cell: 4.785 4.785 4.785 Å, 60.00 60.00 60.00°
Positions (direct):
Mg (0.000, 0.000, 0.000)
Np (0.250, 0.250, 0.250)
Au (0.750, 0.750, 0.750)

8.
Compound: DyC8
Source: OQMD via LeMat-Bulk
Functional: PBE
Structure: relaxed

Values from the calculation:
- size of the total moment (Bohr magnetons per cell) = 0.00
- energy (eV per atom) = -8.6736
- crystal system = hexagonal

Cell: 5.008 5.008 4.296 Å, 90.00 90.00 120.00°
Positions (direct):
Dy (0.000, 0.000, 0.000)
C (0.168, 0.336, 0.500)
C (0.168, 0.832, 0.500)
C (0.333, 0.667, 0.500)
C (0.336, 0.168, 0.500)
C (0.664, 0.832, 0.500)
C (0.667, 0.333, 0.500)
C (0.832, 0.168, 0.500)
C (0.832, 0.664, 0.500)